[1]
Entry from Alexandria: crystalline Mo3Cl at its relaxed geometry (PBE).

abc: 2.9491 2.9491 25.5706
angles: 90.00 90.00 120.00
Space group R-3m (No. 166, hexagonal axes)
One atom of each set of equivalent atoms:
Mo  0.0000  0.0000  0.0000 x3
Mo  0.0000  0.0000  0.2501 x6
Cl  0.0000  0.0000  0.5000 x3

Calculated values
Polymorph energy (0 for the lowest one) ... 12.3 kJ/mol of atoms
Formation energy (no corrections) ... 0.38 eV per atom
M_tot ... 0.000 μB/atom


[2]
Entry from Alexandria: crystalline CaCo2Mo at its relaxed geometry (PBE).

abc: 6.192 6.192 6.192
angles: 90.00 90.00 90.00
Space group F-43m (No. 216)
One atom of each set of equivalent atoms:
Ca  0.000  0.000  0.000 x4
Co  0.000  0.000  0.500 x4
Co  0.250  0.250  0.750 x4
Mo  0.250  0.250  0.250 x4

Calculated values
Polymorph energy (0 for the lowest one) ... 52.4 kJ/mol of atoms
M_tot ... 0.459 μB/atom


[3]
Entry from Alexandria: crystalline ThSi2Ni2Ir at its relaxed geometry (PBE).

abc: 4.572 4.572 5.355
angles: 90.00 90.00 90.00
Space group P4/mmm (No. 123)
One atom of each set of equivalent atoms:
Th  0.000  0.000  0.000 x1
Si  0.000  0.500  0.500 x2
Ni  0.500  0.500  0.252 x2
Ir  0.000  0.000  0.500 x1

Calculated values
Formation energy (no corrections) ... -0.12 eV per atom
M_tot ... 0.000 μB/atom


[4]
Entry from Alexandria: crystalline Ti2InSb at its relaxed geometry (PBE).

abc: 3.4936 3.4936 24.4014
angles: 90.00 90.00 120.00
Space group R3m (No. 160, hexagonal axes)
One atom of each set of equivalent atoms:
Ti  0.0000  0.0000  0.0000 x3
Ti  0.0000  0.0000  0.1786 x3
In  0.0000  0.0000  0.7570 x3
Sb  0.0000  0.0000  0.5888 x3

Calculated values
Polymorph energy (0 for the lowest one) ... 10.3 kJ/mol of atoms
Formation energy (no corrections) ... -0.03 eV per atom
M_tot ... 0.213 μB/atom


[5]
Entry from Alexandria: crystalline Ba2Cl2O at its relaxed geometry (PBE).

abc: 4.378 17.032 8.035
angles: 90.00 90.00 90.00
Space group Cmc2_1 (No. 36)
One atom of each set of equivalent atoms:
Ba  0.000  0.046  0.000 x4
Ba  0.000  0.340  0.880 x4
Cl  0.000  0.301  0.501 x4
Cl  0.000  0.445  0.193 x4
O  0.000  0.086  0.322 x4

Calculated values
Polymorph energy (0 for the lowest one) ... 4.6 kJ/mol of atoms
Formation energy (no corrections) ... -2.53 eV per atom
M_tot ... 0.000 μB/atom


[6]
Entry from Alexandria: crystalline SiB3Pd at its relaxed geometry (PBE).

abc: 3.964 3.964 3.964
angles: 90.00 90.00 90.00
Space group Pm-3m (No. 221)
One atom of each set of equivalent atoms:
Si  0.000  0.000  0.000 x1
B  0.000  0.000  0.500 x3
Pd  0.500  0.500  0.500 x1

Calculated values
Polymorph energy (0 for the lowest one) ... 0.0 kJ/mol of atoms
Formation energy (no corrections) ... 1.50 eV per atom
M_tot ... 0.000 μB/atom


[7]
Entry from Alexandria: crystalline YSi3Au at its relaxed geometry (PBE).

abc: 5.288 5.288 5.288
angles: 90.00 90.00 90.00
Space group Pm-3m (No. 221)
One atom of each set of equivalent atoms:
Y  0.000  0.000  0.000 x1
Si  0.000  0.000  0.500 x3
Au  0.500  0.500  0.500 x1

Calculated values
Formation energy (no corrections) ... 1.34 eV per atom
M_tot ... 0.000 μB/atom


[8]
Entry from Alexandria: crystalline ReTeAs at its relaxed geometry (PBE).

abc: 3.2760 3.2760 7.3868
angles: 90.00 90.00 120.00
Space group P3m1 (No. 156)
One atom of each set of equivalent atoms:
Re  0.0000  0.0000  0.0000 x1
Te  0.3333  0.6667  0.2676 x1
As  0.6667  0.3333  0.7664 x1

Calculated values
Polymorph energy (0 for the lowest one) ... 0.9 kJ/mol of atoms
Formation energy (no corrections) ... 0.25 eV per atom
M_tot ... 0.000 μB/atom


[9]
Entry from Alexandria: crystalline Ca3Er2PaSb6 at its relaxed geometry (PBE).

abc: 7.672 13.292 7.759
angles: 90.00 109.24 90.00
Space group C2/m (No. 12)
One atom of each set of equivalent atoms:
Ca  0.000  0.000  0.000 x2
Ca  0.000  0.332  0.000 x4
Er  0.000  0.166  0.500 x4
Pa  0.000  0.500  0.500 x2
Sb  0.243  0.335  0.735 x8
Sb  0.248  0.000  0.735 x4

Calculated values
Formation energy (no corrections) ... -0.91 eV per atom
M_tot ... 0.000 μB/atom


[10]
Entry from Alexandria: crystalline CsK2O at its relaxed geometry (PBE).

abc: 7.302 7.639 12.636
angles: 90.00 90.00 90.00
Space group Pnna (No. 52)
One atom of each set of equivalent atoms:
Cs  0.118  0.250  0.250 x4
K  0.057  0.181  0.560 x8
O  0.250  0.000  0.418 x4

Calculated values
Formation energy (no corrections) ... -0.75 eV per atom
M_tot ... 0.000 μB/atom